DFT (PBE-GGA) results for an optimized crystal structure of Ta4CrTe.

a b c (Å): 5.504 5.504 5.504
angles (deg): 60.00 60.00 60.00
Positions (direct):
Ta: 0.125 0.125 0.125
Ta: 0.125 0.125 0.624
Ta: 0.125 0.624 0.125
Ta: 0.624 0.125 0.125
Cr: 0.500 0.500 0.500
Te: 0.750 0.750 0.750

Calculated values
magnetic moment: 2.04 μB/f.u.
symmetry: No. 216
formation energy without anion corrections: 0.6378 eV per atom